(1)
# Pr4NdGe4 | Alexandria via LeMat-Bulk | PBE-GGA | relaxed
# Electronic total energy (eV/atom): -5.274
# ΔH_f (0 K) (eV/atom): -0.567
# Total moment (μB per cell): 0.00
# Space-group type: P4_2/n, No. 86
data_Pr4NdGe4
_chemical_formula_sum 'Pr8 Nd2 Ge8'
_symmetry_space_group_name_H-M 'P 1'
_symmetry_Int_Tables_number 1
_symmetry_space_group_name_Hall 'P 1'
_cell_length_a 6.134
_cell_length_b 9.287
_cell_length_c 9.287
_cell_angle_alpha 90.00
_cell_angle_beta 90.00
_cell_angle_gamma 90.00
loop_
_atom_site_label
_atom_site_type_symbol
_atom_site_fract_x
_atom_site_fract_y
_atom_site_fract_z
Pr1 Pr 0.626 0.919 0.698
Pr2 Pr 0.874 0.581 0.802
Pr3 Pr 0.626 0.081 0.302
Pr4 Pr 0.374 0.698 0.081
Pr5 Pr 0.126 0.198 0.581
Pr6 Pr 0.126 0.802 0.419
Pr7 Pr 0.874 0.419 0.198
Pr8 Pr 0.374 0.302 0.919
Ge1 Ge 0.864 0.730 0.125
Ge2 Ge 0.136 0.125 0.270
Ge3 Ge 0.864 0.270 0.875
Ge4 Ge 0.636 0.770 0.375
Ge5 Ge 0.364 0.625 0.770
Ge6 Ge 0.636 0.230 0.625
Ge7 Ge 0.364 0.375 0.230
Ge8 Ge 0.136 0.875 0.730
Nd1 Nd 0.500 0.500 0.500
Nd2 Nd 0.000 0.000 0.000

(2)
# Pr3NdGe2 | Alexandria via LeMat-Bulk | PBE-GGA | relaxed
# Electronic total energy (eV/atom): -5.281
# ΔH_f (0 K) (eV/atom): -0.557
# Total moment (μB per cell): 0.00
# Space-group type: C2/m, No. 12
data_Pr3NdGe2
_chemical_formula_sum 'Pr6 Nd2 Ge4'
_symmetry_space_group_name_H-M 'P 1'
_symmetry_Int_Tables_number 1
_symmetry_space_group_name_Hall 'P 1'
_cell_length_a 4.508
_cell_length_b 10.179
_cell_length_c 9.637
_cell_angle_alpha 124.58
_cell_angle_beta 90.00
_cell_angle_gamma 102.79
loop_
_atom_site_label
_atom_site_type_symbol
_atom_site_fract_x
_atom_site_fract_y
_atom_site_fract_z
Nd1 Nd 0.115 0.230 0.102
Nd2 Nd 0.885 0.770 0.898
Pr1 Pr 0.690 0.379 0.494
Pr2 Pr 0.347 0.693 0.167
Pr3 Pr 0.953 0.907 0.602
Pr4 Pr 0.310 0.621 0.506
Pr5 Pr 0.047 0.093 0.398
Pr6 Pr 0.653 0.307 0.833
Ge1 Ge 0.506 0.011 0.144
Ge2 Ge 0.240 0.480 0.763
Ge3 Ge 0.760 0.520 0.237
Ge4 Ge 0.494 0.989 0.856

(3)
# PrNd5Ge4 | Alexandria via LeMat-Bulk | PBE-GGA | relaxed
# Electronic total energy (eV/atom): -5.328
# ΔH_f (0 K) (eV/atom): -0.619
# Total moment (μB per cell): 0.00
# Space-group type: C2/m, No. 12
data_PrNd5Ge4
_chemical_formula_sum 'Pr1 Nd5 Ge4'
_symmetry_space_group_name_H-M 'P 1'
_symmetry_Int_Tables_number 1
_symmetry_space_group_name_Hall 'P 1'
_cell_length_a 5.196
_cell_length_b 7.076
_cell_length_c 10.924
_cell_angle_alpha 130.52
_cell_angle_beta 103.76
_cell_angle_gamma 90.00
loop_
_atom_site_label
_atom_site_type_symbol
_atom_site_fract_x
_atom_site_fract_y
_atom_site_fract_z
Nd1 Nd 0.165 0.840 0.330
Nd2 Nd 0.835 0.678 0.671
Nd3 Nd 0.500 0.500 0.000
Nd4 Nd 0.835 0.160 0.670
Nd5 Nd 0.165 0.322 0.329
Ge1 Ge 0.679 0.107 0.357
Ge2 Ge 0.990 0.728 0.980
Ge3 Ge 0.321 0.893 0.643
Ge4 Ge 0.010 0.272 0.020
Pr1 Pr 0.500 0.000 0.000

(4)
# PrNdGe | Alexandria via LeMat-Bulk | PBE-GGA | relaxed
# Electronic total energy (eV/atom): -5.124
# ΔH_f (0 K) (eV/atom): -0.402
# E above lowest polymorph (kJ/mol of formula units): 58.3
# Total moment (μB per cell): 0.00
# Space-group type: P-1, No. 2
data_PrNdGe
_chemical_formula_sum 'Pr2 Nd2 Ge2'
_symmetry_space_group_name_H-M 'P 1'
_symmetry_Int_Tables_number 1
_symmetry_space_group_name_Hall 'P 1'
_cell_length_a 3.513
_cell_length_b 7.032
_cell_length_c 7.607
_cell_angle_alpha 103.37
_cell_angle_beta 103.47
_cell_angle_gamma 89.94
loop_
_atom_site_label
_atom_site_type_symbol
_atom_site_fract_x
_atom_site_fract_y
_atom_site_fract_z
Pr1 Pr 0.570 0.618 0.912
Pr2 Pr 0.308 0.486 0.377
Nd1 Nd 0.574 0.119 0.916
Nd2 Nd 0.304 0.985 0.373
Ge1 Ge 0.939 0.296 0.644
Ge2 Ge 0.939 0.808 0.645